Entry 1
The following is a DFT calculation (PBE) of CeHo2Tm6 after structural relaxation.

Values from the calculation:
symmetry = C2/c

abc: 9.347 9.347 6.478
angles: 98.08 98.08 94.51
Element x y z (fractional)
Ce: 0.121 0.879 0.750
Ce: 0.879 0.121 0.250
Ho: 0.335 0.387 0.632
Ho: 0.387 0.335 0.132
Ho: 0.613 0.665 0.868
Ho: 0.665 0.613 0.368
Tm: 0.051 0.218 0.818
Tm: 0.057 0.459 0.266
Tm: 0.218 0.051 0.318
Tm: 0.279 0.657 0.001
Tm: 0.343 0.721 0.499
Tm: 0.459 0.057 0.766
Tm: 0.541 0.943 0.234
Tm: 0.657 0.279 0.501
Tm: 0.721 0.343 0.999
Tm: 0.782 0.949 0.682
Tm: 0.943 0.541 0.734
Tm: 0.949 0.782 0.182

***

Entry 2
The following is a DFT calculation (PBE) of CeHo2Tm6 after structural relaxation.

Values from the calculation:
symmetry = C2/c

abc: 6.088 6.088 15.169
angles: 92.09 92.09 92.55
Element x y z (fractional)
Ce: 0.227 0.773 0.750
Ce: 0.773 0.227 0.250
Ho: 0.108 0.619 0.314
Ho: 0.381 0.892 0.186
Ho: 0.619 0.108 0.814
Ho: 0.892 0.381 0.686
Tm: 0.158 0.305 0.883
Tm: 0.170 0.738 0.523
Tm: 0.262 0.830 0.977
Tm: 0.264 0.371 0.114
Tm: 0.305 0.158 0.383
Tm: 0.371 0.264 0.614
Tm: 0.629 0.736 0.386
Tm: 0.695 0.842 0.617
Tm: 0.736 0.629 0.886
Tm: 0.738 0.170 0.023
Tm: 0.830 0.262 0.477
Tm: 0.842 0.695 0.117

***

Name the least stable of them. entry 2.

***

Entry 1
The following is a DFT calculation (PBE) of CeHo6Tm after structural relaxation.

Values from the calculation:
symmetry = P4/mmm

abc: 4.978 4.978 9.948
angles: 90.00 90.00 90.00
Element x y z (fractional)
Ce: 0.000 0.000 0.000
Ho: 0.000 0.500 0.250
Ho: 0.000 0.500 0.750
Ho: 0.500 0.000 0.250
Ho: 0.500 0.000 0.750
Ho: 0.500 0.500 0.000
Ho: 0.500 0.500 0.500
Tm: 0.000 0.000 0.500

***

Entry 2
The following is a DFT calculation (PBE) of CeHo6Tm after structural relaxation.

Values from the calculation:
symmetry = P-1

abc: 6.454 6.718 6.825
angles: 119.07 102.11 90.56
Element x y z (fractional)
Ce: 0.000 0.000 0.000
Ho: 0.230 0.904 0.480
Ho: 0.250 0.448 0.001
Ho: 0.267 0.429 0.522
Ho: 0.733 0.571 0.478
Ho: 0.750 0.552 0.999
Ho: 0.770 0.096 0.520
Tm: 0.500 0.000 0.000

***

Name the least stable of them. entry 2.

***

Entry 1
The following is a DFT calculation (PBE) of CeHo4Tm7 after structural relaxation.

Values from the calculation:
symmetry = C2/m

abc: 6.602 6.602 12.535
angles: 114.59 114.59 51.59
Element x y z (fractional)
Ce: 0.000 0.000 0.000
Ho: 0.252 0.252 0.687
Ho: 0.369 0.369 0.225
Ho: 0.631 0.631 0.775
Ho: 0.748 0.748 0.313
Tm: 0.059 0.059 0.329
Tm: 0.207 0.207 0.924
Tm: 0.364 0.364 0.496
Tm: 0.500 0.500 0.000
Tm: 0.636 0.636 0.504
Tm: 0.793 0.793 0.076
Tm: 0.941 0.941 0.671

***

Entry 2
The following is a DFT calculation (PBE) of CeHo4Tm7 after structural relaxation.

Values from the calculation:
symmetry = C2/m

abc: 9.892 9.892 5.885
angles: 90.25 90.25 40.07
Element x y z (fractional)
Ce: 0.000 0.000 0.000
Ho: 0.132 0.595 0.254
Ho: 0.405 0.868 0.746
Ho: 0.595 0.132 0.254
Ho: 0.868 0.405 0.746
Tm: 0.000 0.000 0.500
Tm: 0.187 0.187 0.252
Tm: 0.286 0.286 0.756
Tm: 0.460 0.460 0.750
Tm: 0.540 0.540 0.250
Tm: 0.714 0.714 0.244
Tm: 0.813 0.813 0.748

***

Name the least stable of them. entry 1.

***

Entry 1
The following is a DFT calculation (PBE) of CeHo3Tm after structural relaxation.

Values from the calculation:
symmetry = P2_1/c

abc: 6.113 9.249 11.647
angles: 90.00 108.79 90.00
Element x y z (fractional)
Ce: 0.154 0.236 0.150
Ce: 0.154 0.264 0.650
Ce: 0.846 0.736 0.350
Ce: 0.846 0.764 0.850
Ho: 0.040 0.610 0.635
Ho: 0.040 0.890 0.135
Ho: 0.183 0.035 0.421
Ho: 0.183 0.465 0.921
Ho: 0.392 0.553 0.219
Ho: 0.392 0.947 0.719
Ho: 0.608 0.053 0.281
Ho: 0.608 0.447 0.781
Ho: 0.817 0.535 0.079
Ho: 0.817 0.965 0.579
Ho: 0.960 0.110 0.865
Ho: 0.960 0.390 0.365
Tm: 0.441 0.686 0.500
Tm: 0.441 0.814 0.000
Tm: 0.559 0.186 0.000
Tm: 0.559 0.314 0.500

***

Entry 2
The following is a DFT calculation (PBE) of CeHo3Tm after structural relaxation.

Values from the calculation:
symmetry = Pnma

abc: 9.950 3.505 17.571
angles: 90.00 90.00 90.00
Element x y z (fractional)
Ce: 0.127 0.250 0.151
Ce: 0.373 0.750 0.651
Ce: 0.627 0.250 0.349
Ce: 0.873 0.750 0.849
Ho: 0.122 0.250 0.950
Ho: 0.124 0.250 0.349
Ho: 0.124 0.250 0.750
Ho: 0.376 0.750 0.250
Ho: 0.376 0.750 0.849
Ho: 0.378 0.750 0.450
Ho: 0.622 0.250 0.550
Ho: 0.624 0.250 0.151
Ho: 0.624 0.250 0.750
Ho: 0.876 0.750 0.250
Ho: 0.876 0.750 0.651
Ho: 0.878 0.750 0.050
Tm: 0.126 0.250 0.549
Tm: 0.374 0.750 0.049
Tm: 0.626 0.250 0.951
Tm: 0.874 0.750 0.451

***

Name the least stable of them. entry 1.

***

Entry 1
The following is a DFT calculation (PBE) of CeHo2Tm3 after structural relaxation.

Values from the calculation:
symmetry = Cmmm

abc: 7.838 7.838 4.947
angles: 90.00 90.00 143.03
Element x y z (fractional)
Ce: 0.000 0.000 0.000
Ho: 0.333 0.667 0.000
Ho: 0.667 0.333 0.000
Tm: 0.165 0.835 0.500
Tm: 0.500 0.500 0.500
Tm: 0.835 0.165 0.500

***

Entry 2
The following is a DFT calculation (PBE) of CeHo2Tm3 after structural relaxation.

Values from the calculation:
symmetry = C2/m

abc: 9.015 9.015 13.910
angles: 117.66 117.66 21.77
Element x y z (fractional)
Ce: 0.048 0.048 0.113
Ce: 0.952 0.952 0.887
Ho: 0.157 0.157 0.964
Ho: 0.321 0.321 0.618
Ho: 0.679 0.679 0.382
Ho: 0.843 0.843 0.036
Tm: 0.100 0.100 0.528
Tm: 0.241 0.241 0.792
Tm: 0.459 0.459 0.291
Tm: 0.541 0.541 0.709
Tm: 0.759 0.759 0.208
Tm: 0.900 0.900 0.472

***

Name the least stable of them. entry 2.

***

Entry 1
The following is a DFT calculation (PBE) of CeHo2Tm4 after structural relaxation.

Values from the calculation:
symmetry = Cmmm

abc: 11.296 11.296 5.549
angles: 90.00 90.00 161.76
Element x y z (fractional)
Ce: 0.000 0.000 0.000
Ho: 0.430 0.570 0.500
Ho: 0.570 0.430 0.500
Tm: 0.192 0.808 0.500
Tm: 0.329 0.671 0.000
Tm: 0.671 0.329 0.000
Tm: 0.808 0.192 0.500

***

Entry 2
The following is a DFT calculation (PBE) of CeHo2Tm4 after structural relaxation.

Values from the calculation:
symmetry = R3m

abc: 19.808 19.808 19.808
angles: 10.24 10.24 10.24
Element x y z (fractional)
Ce: 0.000 0.000 0.000
Ho: 0.096 0.096 0.096
Ho: 0.191 0.191 0.191
Tm: 0.285 0.285 0.285
Tm: 0.382 0.382 0.382
Tm: 0.810 0.810 0.810
Tm: 0.905 0.905 0.905

***

Name the least stable of them. entry 1.

***

Entry 1
The following is a DFT calculation (PBE) of CeYHo2 after structural relaxation.

Values from the calculation:
symmetry = Fm-3m

abc: 5.650 5.650 5.650
angles: 60.00 60.00 60.00
Element x y z (fractional)
Ce: 0.000 0.000 0.000
Y: 0.500 0.500 0.500
Ho: 0.250 0.250 0.250
Ho: 0.750 0.750 0.750

***

Entry 2
The following is a DFT calculation (PBE) of CeYHo2 after structural relaxation.

Values from the calculation:
symmetry = R-3m

abc: 11.694 11.694 11.694
angles: 17.31 17.31 17.31
Element x y z (fractional)
Ce: 0.000 0.000 0.000
Y: 0.500 0.500 0.500
Ho: 0.251 0.251 0.251
Ho: 0.749 0.749 0.749

***

Name the least stable of them. entry 1.

***

Entry 1
The following is a DFT calculation (PBE) of CeYHo2 after structural relaxation.

Values from the calculation:
symmetry = P4/mmm

abc: 3.527 3.527 9.960
angles: 90.00 90.00 90.00
Element x y z (fractional)
Ce: 0.000 0.000 0.000
Y: 0.000 0.000 0.500
Ho: 0.500 0.500 0.244
Ho: 0.500 0.500 0.756

***

Entry 2
The following is a DFT calculation (PBE) of CeYHo2 after structural relaxation.

Values from the calculation:
symmetry = P4/mmm

abc: 5.000 5.000 4.981
angles: 90.00 90.00 90.00
Element x y z (fractional)
Ce: 0.000 0.000 0.000
Y: 0.500 0.500 0.000
Ho: 0.000 0.500 0.500
Ho: 0.500 0.000 0.500

***

Entry 3
The following is a DFT calculation (PBE) of CeYHo2 after structural relaxation.

Values from the calculation:
symmetry = Pnma

abc: 10.022 5.009 9.998
angles: 90.00 90.00 90.00
Element x y z (fractional)
Ce: 0.125 0.250 0.248
Ce: 0.375 0.750 0.748
Ce: 0.625 0.250 0.252
Ce: 0.875 0.750 0.752
Y: 0.126 0.750 0.500
Y: 0.374 0.250 0.000
Y: 0.626 0.750 0.000
Y: 0.874 0.250 0.500
Ho: 0.124 0.750 0.000
Ho: 0.125 0.250 0.751
Ho: 0.375 0.750 0.251
Ho: 0.376 0.250 0.500
Ho: 0.624 0.750 0.500
Ho: 0.625 0.250 0.749
Ho: 0.875 0.750 0.249
Ho: 0.876 0.250 0.000

***

Entry 4
The following is a DFT calculation (PBE) of CeYHo2 after structural relaxation.

Values from the calculation:
symmetry = P-3m1

abc: 3.542 3.542 11.315
angles: 90.00 90.00 120.00
Element x y z (fractional)
Ce: 0.000 0.000 0.000
Y: 0.000 0.000 0.500
Ho: 0.333 0.667 0.245
Ho: 0.667 0.333 0.755

***

Name the least stable of them. entry 3.